(1)
The following is a DFT calculation (PBEsol) of a relaxed structure of Be2SbPb.

Results
D(E_F), states/eV/atom: 0.3806
Volume, Å³/cell: 155.1
Theoretical density, g cm⁻³: 7.43
Polymorph energy (0 for the lowest one), meV/atom: 0
Total magnetic moment, μB per formula unit: 0.000
Uncorrected formation energy, eV/atom: 0.67

Cell lengths 3.7743, 5.4889, 7.4870 Å; angles 90.00, 90.00, 90.00 degrees
Space group Immm (No. 71)
Inequivalent atoms, fractional coordinates:
Be1 0.0000 0.0000 0.2287 (multiplicity 4)
Sb1 0.0000 0.5000 0.5000 (multiplicity 2)
Pb1 0.0000 0.5000 0.0000 (multiplicity 2)

***

(2)
The following is a DFT calculation (PBEsol) of a relaxed structure of Cd3AgAs.

Results
D(E_F), states/eV/atom: 0.5532
Formation enthalpy at 0 K, eV per atom: 0.557
Volume, Å³/cell: 138.4
Theoretical density, g cm⁻³: 6.24
Total magnetic moment, μB per formula unit: 0.000

Cell lengths 5.1732, 5.1732, 5.1732 Å; angles 90.00, 90.00, 90.00 degrees
Space group Pm-3m (No. 221)
Inequivalent atoms, fractional coordinates:
Cd1 0.0000 0.0000 0.5000 (multiplicity 3)
Ag1 0.5000 0.5000 0.5000 (multiplicity 1)
As1 0.0000 0.0000 0.0000 (multiplicity 1)

***

(3)
The following is a DFT calculation (PBEsol) of a relaxed structure of LaNi2Pb.

Results
D(E_F), states/eV/atom: 0.6475
Formation enthalpy at 0 K, eV per atom: -0.070
Volume, Å³/cell: 75.7
Theoretical density, g cm⁻³: 10.17
Total magnetic moment, μB per formula unit: 0.000

Cell lengths 4.6747, 4.6747, 3.4620 Å; angles 90.00, 90.00, 90.00 degrees
Space group P4/mmm (No. 123)
Inequivalent atoms, fractional coordinates:
La1 0.0000 0.0000 0.0000 (multiplicity 1)
Ni1 0.0000 0.5000 0.5000 (multiplicity 2)
Pb1 0.5000 0.5000 0.0000 (multiplicity 1)

***

(4)
The following is a DFT calculation (PBEsol) of a relaxed structure of ScSiOs2.

Results
D(E_F), states/eV/atom: 0.5599
Volume, Å³/cell: 59.0
Theoretical density, g cm⁻³: 12.75
Total magnetic moment, μB per formula unit: 0.000
Uncorrected formation energy, eV/atom: -0.31

Cell lengths 2.8937, 4.3105, 4.9185 Å; angles 90.00, 105.74, 90.00 degrees
Space group Pm (No. 6)
Inequivalent atoms, fractional coordinates:
Sc1 0.0000 0.0000 0.0000 (multiplicity 1)
Si1 0.5750 0.5000 0.2238 (multiplicity 1)
Os1 0.2669 0.5000 0.6801 (multiplicity 1)
Os2 0.6410 0.0000 0.4821 (multiplicity 1)

***

(5)
The following is a DFT calculation (PBEsol) of a relaxed structure of TeS7Cl2.

Results
D(E_F), states/eV/atom: 0.0000
Volume, Å³/cell: 1060.0
Theoretical density, g cm⁻³: 2.65
Total magnetic moment, μB per formula unit: 0.000
Uncorrected formation energy, eV/atom: -0.16

Cell lengths 9.2951, 8.7332, 13.0576 Å; angles 90.00, 90.00, 90.00 degrees
Space group Pnma (No. 62)
Inequivalent atoms, fractional coordinates:
Te1 0.1904 0.2500 0.1056 (multiplicity 4)
S1 0.1387 0.5622 0.2831 (multiplicity 8)
S2 0.1678 0.5328 0.5333 (multiplicity 8)
S3 0.2437 0.5365 0.9013 (multiplicity 8)
S4 0.2450 0.7500 0.2268 (multiplicity 4)
Cl1 0.0218 0.2500 0.9645 (multiplicity 4)
Cl2 0.0868 0.7500 0.7182 (multiplicity 4)

***

(6)
The following is a DFT calculation (PBEsol) of a relaxed structure of SnHgSe2N.

Results
D(E_F), states/eV/atom: 0.5105
Volume, Å³/cell: 116.0
Theoretical density, g cm⁻³: 7.03
Total magnetic moment, μB per formula unit: 1.808
Uncorrected formation energy, eV/atom: 0.88

Cell lengths 5.3260, 5.3260, 4.0889 Å; angles 90.00, 90.00, 90.00 degrees
Space group P4/mmm (No. 123)
Inequivalent atoms, fractional coordinates:
Sn1 0.0000 0.0000 0.0000 (multiplicity 1)
Hg1 0.5000 0.5000 0.5000 (multiplicity 1)
Se1 0.0000 0.5000 0.5000 (multiplicity 2)
N1 0.5000 0.5000 0.0000 (multiplicity 1)

***

(7)
The following is a DFT calculation (PBEsol) of a relaxed structure of Zn2FeIr.

Results
D(E_F), states/eV/atom: 0.6803
Formation enthalpy at 0 K, eV per atom: -0.057
Volume, Å³/cell: 52.0
Theoretical density, g cm⁻³: 12.11
Total magnetic moment, μB per formula unit: 2.867

Cell lengths 3.7101, 3.7101, 3.7756 Å; angles 90.00, 90.00, 90.00 degrees
Space group P4/mmm (No. 123)
Inequivalent atoms, fractional coordinates:
Zn1 0.0000 0.5000 0.0000 (multiplicity 2)
Fe1 0.0000 0.0000 0.5000 (multiplicity 1)
Ir1 0.5000 0.5000 0.5000 (multiplicity 1)

***

(8)
The following is a DFT calculation (PBEsol) of a relaxed structure of BaCa2Pd2.

Results
D(E_F), states/eV/atom: 0.4488
Formation enthalpy at 0 K, eV per atom: -0.444
Volume, Å³/cell: 267.6
Theoretical density, g cm⁻³: 5.34
Polymorph energy (0 for the lowest one), meV/atom: 4
Total magnetic moment, μB per formula unit: 0.000

Cell lengths 8.0348, 8.0348, 4.1454 Å; angles 90.00, 90.00, 90.00 degrees
Space group P4/mbm (No. 127)
Inequivalent atoms, fractional coordinates:
Ba1 0.0000 0.0000 0.0000 (multiplicity 2)
Ca1 0.1526 0.3474 0.5000 (multiplicity 4)
Pd1 0.1238 0.6238 0.0000 (multiplicity 4)

***

(9)
The following is a DFT calculation (PBEsol) of a relaxed structure of EuCd2In.

Results
D(E_F), states/eV/atom: 1.6077
Formation enthalpy at 0 K, eV per atom: -0.350
Volume, Å³/cell: 378.3
Theoretical density, g cm⁻³: 8.63
Total magnetic moment, μB per formula unit: 6.999

Cell lengths 7.2323, 7.2323, 7.2323 Å; angles 90.00, 90.00, 90.00 degrees
Space group Fm-3m (No. 225)
Inequivalent atoms, fractional coordinates:
Eu1 0.0000 0.0000 0.0000 (multiplicity 4)
Cd1 0.2500 0.2500 0.2500 (multiplicity 8)
In1 0.0000 0.0000 0.5000 (multiplicity 4)

***

(10)
The following is a DFT calculation (PBEsol) of a relaxed structure of ZnFe2Co.

Results
D(E_F), states/eV/atom: 0.7061
Formation enthalpy at 0 K, eV per atom: 0.048
Volume, Å³/cell: 91.0
Theoretical density, g cm⁻³: 8.61
Total magnetic moment, μB per formula unit: 6.277

Cell lengths 2.8357, 4.0294, 7.9674 Å; angles 90.00, 90.00, 90.00 degrees
Space group Imm2 (No. 44)
Inequivalent atoms, fractional coordinates:
Zn1 0.0000 0.0000 0.0000 (multiplicity 2)
Fe1 0.0000 0.0000 0.5035 (multiplicity 2)
Fe2 0.0000 0.5000 0.7607 (multiplicity 2)
Co1 0.0000 0.5000 0.2442 (multiplicity 2)

***

(11)
The following is a DFT calculation (PBEsol) of a relaxed structure of LiSbRh2.

Results
D(E_F), states/eV/atom: 0.7263
Volume, Å³/cell: 118.6
Theoretical density, g cm⁻³: 9.37
Total magnetic moment, μB per formula unit: 0.000
Uncorrected formation energy, eV/atom: -0.33

Cell lengths 9.2302, 3.0479, 4.4131 Å; angles 90.00, 107.18, 90.00 degrees
Space group Cm (No. 8)
Inequivalent atoms, fractional coordinates:
Li1 0.0000 0.0000 0.0000 (multiplicity 2)
Sb1 0.2627 0.5000 0.3715 (multiplicity 2)
Rh1 0.0032 0.5000 0.5011 (multiplicity 2)
Rh2 0.2578 0.0000 0.8769 (multiplicity 2)

***

(12)
The following is a DFT calculation (PBEsol) of a relaxed structure of Ca2MnP.

Results
D(E_F), states/eV/atom: 0.8227
Formation enthalpy at 0 K, eV per atom: -0.107
Volume, Å³/cell: 86.2
Theoretical density, g cm⁻³: 3.20
Total magnetic moment, μB per formula unit: 4.281

Cell lengths 4.6877, 4.6877, 3.9241 Å; angles 90.00, 90.00, 90.00 degrees
Space group P4/mmm (No. 123)
Inequivalent atoms, fractional coordinates:
Ca1 0.0000 0.5000 0.0000 (multiplicity 2)
Mn1 0.0000 0.0000 0.5000 (multiplicity 1)
P1 0.5000 0.5000 0.5000 (multiplicity 1)

***

What is the formula in the twelfth record?
Ca2MnP